8
Lattice="-3.406 3.406 2.320 3.406 -3.406 2.320 3.406 3.406 -2.320" Properties=species:S:1:pos:R:3 comment="MgTc2N (GGA-PBE, relaxed)" spacegroup="No. 122" volume_a3_per_atom=13.5 magmom_total_mub_per_fu=0.000 mass_density_g_cm3=7.23 n_ef_per_ev_atom=0.968 polymorph_energy_mev_per_atom=0 total_energy_ev_per_atom=-7.501 pbc="T T T"
Mg 0.000 0.000 0.000
Mg 0.000 3.406 1.160
Tc 1.703 -0.955 1.740
Tc 2.451 1.703 0.580
Tc 1.703 4.361 -0.580
Tc 0.955 1.703 2.900
N 3.406 0.000 1.160
N 0.000 0.000 2.320


10
Lattice="-3.398 3.398 2.274 3.398 -3.398 2.274 3.398 3.398 -2.274" Properties=species:S:1:pos:R:3 comment="Mg4TcN5 (GGA-PBE, relaxed)" spacegroup="No. 79" volume_a3_per_atom=10.5 magmom_total_mub_per_fu=0.000 mass_density_g_cm3=4.19 total_energy_ev_per_atom=-6.323 pbc="T T T"
Mg 4.722 0.683 0.000
Mg 0.683 2.074 0.000
Mg 2.715 1.324 2.274
Mg -1.324 2.715 2.274
Tc 0.000 0.000 2.003
N 0.000 0.000 0.188
N 2.779 1.517 0.067
N 1.880 -0.619 2.341
N 1.517 4.017 0.067
N 0.619 1.880 2.341


4
Lattice="1.413 0.816 8.017 -1.413 0.816 8.017 0.000 -1.631 8.017" Properties=species:S:1:pos:R:3 comment="MgTc2N (GGA-PBE, relaxed)" spacegroup="No. 166" volume_a3_per_atom=13.9 magmom_total_mub_per_fu=0.000 mass_density_g_cm3=7.02 n_ef_per_ev_atom=0.492 polymorph_energy_mev_per_atom=259 total_energy_ev_per_atom=-7.242 pbc="T T T"
Mg 0.000 0.000 0.000
Tc 0.000 0.000 2.630
Tc 0.000 0.000 21.419
N 0.000 0.000 12.025


5
Lattice="5.091 0.000 0.000 0.000 5.091 0.000 0.000 0.000 5.091" Properties=species:S:1:pos:R:3 comment="Mg3TcN (GGA-PBE, relaxed)" spacegroup="No. 221" volume_a3_per_atom=26.4 magmom_total_mub_per_fu=3.411 mass_density_g_cm3=2.33 n_ef_per_ev_atom=0.900 polymorph_energy_mev_per_atom=1552 total_energy_ev_per_atom=-2.950 pbc="T T T"
Mg 0.000 0.000 2.546
Mg 0.000 2.546 0.000
Mg 2.546 0.000 0.000
Tc 0.000 0.000 0.000
N 2.546 2.546 2.546


4
Lattice="1.464 0.845 5.281 -1.464 0.845 5.281 0.000 -1.690 5.281" Properties=species:S:1:pos:R:3 comment="MgTcN2 (GGA-PBE, relaxed)" spacegroup="No. 166" volume_a3_per_atom=9.8 magmom_total_mub_per_fu=0.000 mass_density_g_cm3=6.37 n_ef_per_ev_atom=0.315 total_energy_ev_per_atom=-7.508 pbc="T T T"
Mg 0.000 0.000 0.000
Tc 0.000 0.000 7.921
N 0.000 0.000 3.944
N 0.000 0.000 11.899


4
Lattice="0.000 2.958 2.958 2.958 0.000 2.958 2.958 2.958 0.000" Properties=species:S:1:pos:R:3 comment="MgTc2N (GGA-PBE, relaxed)" spacegroup="No. 225" volume_a3_per_atom=12.9 magmom_total_mub_per_fu=0.001 mass_density_g_cm3=7.51 n_ef_per_ev_atom=1.524 polymorph_energy_mev_per_atom=1261 total_energy_ev_per_atom=-6.240 pbc="T T T"
Mg 0.000 0.000 0.000
Tc 1.479 1.479 1.479
Tc 4.437 4.437 4.437
N 2.958 2.958 2.958


12
Lattice="5.332 -3.102 0.000 5.332 3.102 0.000 0.000 0.000 4.354" Properties=species:S:1:pos:R:3 comment="Mg2TcN3 (GGA-PBE, relaxed)" spacegroup="No. 63" volume_a3_per_atom=12.0 magmom_total_mub_per_fu=0.606 mass_density_g_cm3=4.35 n_ef_per_ev_atom=0.371 total_energy_ev_per_atom=-6.862 pbc="T T T"
Mg 1.779 1.025 1.088
Mg 1.779 -1.025 3.265
Mg 8.885 1.025 1.088
Mg 8.885 -1.025 3.265
Tc 5.332 1.071 1.088
Tc 5.332 -1.071 3.265
N 3.675 2.002 1.088
N 6.988 2.002 1.088
N 5.332 0.893 3.265
N 5.332 -0.893 1.088
N 3.675 -2.002 3.265
N 6.988 -2.002 3.265


5
Lattice="4.264 0.000 0.000 0.000 4.264 0.000 0.000 0.000 4.264" Properties=species:S:1:pos:R:3 comment="Mg3TcN (GGA-PBE, relaxed)" spacegroup="No. 221" volume_a3_per_atom=15.5 magmom_total_mub_per_fu=2.021 mass_density_g_cm3=3.96 n_ef_per_ev_atom=1.039 polymorph_energy_mev_per_atom=0 total_energy_ev_per_atom=-4.502 pbc="T T T"
Mg 0.000 0.000 2.132
Mg 0.000 2.132 0.000
Mg 2.132 0.000 0.000
Tc 2.132 2.132 2.132
N 0.000 0.000 0.000


5
Lattice="4.465 0.000 0.000 0.000 4.465 0.000 0.000 0.000 4.465" Properties=species:S:1:pos:R:3 comment="MgTc3N (GGA-PBE, relaxed)" spacegroup="No. 221" volume_a3_per_atom=17.8 magmom_total_mub_per_fu=0.003 mass_density_g_cm3=6.20 n_ef_per_ev_atom=1.465 total_energy_ev_per_atom=-4.942 pbc="T T T"
Mg 0.000 0.000 0.000
Tc 0.000 0.000 2.233
Tc 0.000 2.233 0.000
Tc 2.233 0.000 0.000
N 2.233 2.233 2.233


5
Lattice="5.505 0.000 0.000 0.000 5.505 0.000 0.000 0.000 3.804" Properties=species:S:1:pos:R:3 comment="MgTcTe2N (GGA-PBE, relaxed)" spacegroup="No. 123" volume_a3_per_atom=23.1 magmom_total_mub_per_fu=4.840 mass_density_g_cm3=5.64 n_ef_per_ev_atom=0.829 polymorph_energy_mev_per_atom=1059 total_energy_ev_per_atom=-4.189 pbc="T T T"
Mg 0.000 0.000 0.000
Tc 2.753 2.753 1.902
Te 0.000 2.753 0.000
Te 2.753 0.000 0.000
N 0.000 0.000 1.902


5
Lattice="5.497 0.000 0.000 0.000 5.497 0.000 0.000 0.000 3.709" Properties=species:S:1:pos:R:3 comment="MgTcTe2N (GGA-PBE, relaxed)" spacegroup="No. 123" volume_a3_per_atom=22.4 magmom_total_mub_per_fu=0.000 mass_density_g_cm3=5.80 n_ef_per_ev_atom=0.414 polymorph_energy_mev_per_atom=0 total_energy_ev_per_atom=-5.247 pbc="T T T"
Mg 0.000 0.000 0.000
Tc 2.748 2.748 1.854
Te 0.000 2.748 1.854
Te 2.748 0.000 1.854
N 2.748 2.748 0.000


16
Lattice="1.705 -5.775 0.000 1.705 5.775 0.000 0.000 0.000 10.658" Properties=species:S:1:pos:R:3 comment="ThMg2TcN4 (GGA-PBE, relaxed)" spacegroup="No. 63" volume_a3_per_atom=13.1 magmom_total_mub_per_fu=0.000 mass_density_g_cm3=6.88 n_ef_per_ev_atom=0.410 total_energy_ev_per_atom=-7.381 pbc="T T T"
Th 1.705 4.724 7.993
Th 1.705 -4.724 2.664
Mg 1.705 1.331 5.698
Mg 1.705 1.331 10.289
Mg 1.705 -1.331 0.369
Mg 1.705 -1.331 4.960
Tc 1.705 3.805 2.664
Tc 1.705 -3.805 7.993
N 0.000 0.000 0.000
N 0.000 0.000 5.329
N 1.705 2.469 1.336
N 1.705 2.469 3.992
N 1.705 0.907 7.993
N 1.705 -0.907 2.664
N 1.705 -2.469 6.665
N 1.705 -2.469 9.321


12
Lattice="2.681 -4.680 0.000 2.681 4.680 0.000 -1.798 0.000 5.021" Properties=species:S:1:pos:R:3 comment="Mg2UTc3N6 (GGA-PBE, relaxed)" spacegroup="No. 12" volume_a3_per_atom=10.5 magmom_total_mub_per_fu=0.000 mass_density_g_cm3=8.76 n_ef_per_ev_atom=0.440 total_energy_ev_per_atom=-8.501 pbc="T T T"
Mg 2.681 3.082 0.000
Mg 2.681 -3.082 0.000
U 2.681 0.000 0.000
Tc -0.899 0.000 2.511
Tc 1.783 1.383 2.511
Tc 1.783 -1.383 2.511
N -0.047 1.642 3.685
N 0.786 0.000 1.204
N -0.047 -1.642 3.685
N 3.612 1.642 1.337
N 2.779 0.000 3.818
N 3.612 -1.642 1.337


16
Lattice="6.725 0.000 0.000 0.000 5.658 0.000 0.000 0.000 5.184" Properties=species:S:1:pos:R:3 comment="Mg2VTcN4 (GGA-PBE, relaxed)" spacegroup="No. 31" volume_a3_per_atom=12.3 magmom_total_mub_per_fu=0.000 mass_density_g_cm3=4.27 n_ef_per_ev_atom=0.379 total_energy_ev_per_atom=-7.543 pbc="T T T"
Mg 1.638 0.917 0.000
Mg 1.724 4.741 2.592
Mg 5.001 4.741 2.592
Mg 5.087 0.917 0.000
V 0.000 2.003 2.551
V 3.363 3.655 5.143
Tc 0.000 3.723 0.042
Tc 3.363 1.934 2.634
N 0.000 1.933 4.412
N 0.000 3.796 1.976
N 1.638 1.146 2.129
N 1.724 4.512 4.720
N 3.363 1.862 4.568
N 3.363 3.725 1.821
N 5.001 4.512 4.720
N 5.087 1.146 2.129


16
Lattice="6.903 0.000 0.000 0.000 5.737 0.000 0.000 0.000 5.152" Properties=species:S:1:pos:R:3 comment="Mg2TcWN4 (GGA-PBE, relaxed)" spacegroup="No. 31" volume_a3_per_atom=12.8 magmom_total_mub_per_fu=0.000 mass_density_g_cm3=6.29 n_ef_per_ev_atom=0.299 total_energy_ev_per_atom=-7.857 pbc="T T T"
Mg 1.639 0.959 0.000
Mg 1.813 4.778 2.576
Mg 5.091 4.778 2.576
Mg 5.264 0.959 0.000
Tc 0.000 1.996 2.195
Tc 3.452 3.740 4.771
W 0.000 3.739 0.084
W 3.452 1.998 2.660
N 0.000 2.000 4.383
N 0.000 3.936 2.046
N 1.648 4.612 4.730
N 1.804 1.125 2.154
N 3.452 1.800 4.622
N 3.452 3.736 1.807
N 5.100 1.125 2.154
N 5.256 4.612 4.730


12
Lattice="2.707 -4.614 0.000 2.707 4.614 0.000 -1.749 0.000 4.801" Properties=species:S:1:pos:R:3 comment="Mg2Tc3WN6 (GGA-PBE, relaxed)" spacegroup="No. 12" volume_a3_per_atom=10.0 magmom_total_mub_per_fu=1.440 mass_density_g_cm3=8.45 n_ef_per_ev_atom=0.452 total_energy_ev_per_atom=-8.297 pbc="T T T"
Mg 2.707 3.027 0.000
Mg 2.707 -3.027 0.000
Tc -0.874 0.000 2.400
Tc 1.832 1.305 2.400
Tc 1.832 -1.305 2.400
W 2.707 0.000 0.000
N 0.053 1.564 3.565
N 0.853 0.000 1.127
N 0.053 -1.564 3.565
N 3.612 1.564 1.236
N 2.812 0.000 3.674
N 3.612 -1.564 1.236


5
Lattice="4.970 0.000 0.000 0.000 4.970 0.000 0.000 0.000 3.946" Properties=species:S:1:pos:R:3 comment="Y2MgTcN (GGA-PBE, relaxed)" spacegroup="No. 123" volume_a3_per_atom=19.5 magmom_total_mub_per_fu=0.000 mass_density_g_cm3=5.35 n_ef_per_ev_atom=0.498 total_energy_ev_per_atom=-7.249 pbc="T T T"
Y 0.000 2.485 0.000
Y 2.485 0.000 0.000
Mg 0.000 0.000 1.973
Tc 2.485 2.485 1.973
N 2.485 2.485 0.000


16
Lattice="6.653 0.000 0.000 0.000 5.685 0.000 0.000 0.000 5.372" Properties=species:S:1:pos:R:3 comment="MgZn2TcN4 (GGA-PBE, relaxed)" spacegroup="No. 31" volume_a3_per_atom=12.7 magmom_total_mub_per_fu=0.010 mass_density_g_cm3=5.05 n_ef_per_ev_atom=0.455 total_energy_ev_per_atom=-6.136 pbc="T T T"
Mg 0.000 0.944 0.000
Mg 3.327 4.741 2.686
Zn 1.662 1.876 2.710
Zn 1.665 3.809 0.024
Zn 4.992 1.876 2.710
Zn 4.988 3.809 0.024
Tc 0.000 4.701 2.703
Tc 3.327 0.983 0.017
N 0.000 0.797 2.125
N 0.000 4.675 4.569
N 1.532 3.824 2.081
N 1.795 1.861 4.767
N 3.327 1.010 1.883
N 3.327 4.888 4.811
N 4.859 1.861 4.767
N 5.121 3.824 2.081


8
Lattice="-2.389 2.389 4.509 2.389 -2.389 4.509 2.389 2.389 -4.509" Properties=species:S:1:pos:R:3 comment="Mg2ZnTcN4 (GGA-PBE, relaxed)" spacegroup="No. 121" volume_a3_per_atom=12.9 magmom_total_mub_per_fu=0.000 mass_density_g_cm3=4.33 n_ef_per_ev_atom=0.303 total_energy_ev_per_atom=-6.369 pbc="T T T"
Mg 2.389 0.000 2.254
Mg 0.000 2.389 2.254
Zn 0.000 0.000 0.000
Tc 0.000 0.000 4.509
N 1.286 1.286 -1.025
N 1.102 -1.102 5.534
N 1.102 1.102 3.484
N -1.102 1.102 5.534


5
Lattice="3.989 0.000 0.000 0.000 3.989 0.000 0.000 0.000 3.989" Properties=species:S:1:pos:R:3 comment="MgTeN3 (GGA-PBE, relaxed)" spacegroup="No. 221" volume_a3_per_atom=12.7 magmom_total_mub_per_fu=3.024 mass_density_g_cm3=5.07 n_ef_per_ev_atom=0.412 total_energy_ev_per_atom=-4.218 pbc="T T T"
Mg 0.000 0.000 0.000
Te 1.995 1.995 1.995
N 0.000 0.000 1.995
N 0.000 1.995 0.000
N 1.995 0.000 0.000